1.
The following is a DFT calculation (PBE-GGA) of an optimized crystal structure of V2FeBi.

Calculated values
Calculated formation energy: 423 meV per atom
Excess energy over the best structure of this formula in the dataset: 0.00 kcal/mol of atoms
M_tot: 0.135 μB/atom
Crystal system: cubic
Energy: -115.6 eV/cell

abc: 6.338 6.338 6.338
angles: 90.00 90.00 90.00
Space group Fm-3m (No. 225)
Inequivalent atoms, fractional coordinates:
V  0.250  0.250  0.250
Fe  0.000  0.000  0.000
Bi  0.000  0.000  0.500

2.
The following is a DFT calculation (PBE-GGA) of an optimized crystal structure of MnCo2Re.

Calculated values
Calculated formation energy: 83 meV per atom
Excess energy over the best structure of this formula in the dataset: 1.62 kcal/mol of atoms
M_tot: 0.473 μB/atom
Crystal system: tetragonal
Energy: -35.5 eV/cell

abc: 2.567 2.567 7.192
angles: 90.00 90.00 90.00
Space group P4/mmm (No. 123)
Inequivalent atoms, fractional coordinates:
Mn  0.000  0.000  0.000
Co  0.500  0.500  0.239
Re  0.000  0.000  0.500

3.
The following is a DFT calculation (PBE-GGA) of an optimized crystal structure of CdFeCu2.

Calculated values
Calculated formation energy: 256 meV per atom
M_tot: 0.698 μB/atom
Crystal system: monoclinic
Energy: -33.1 eV/cell

abc: 9.125 2.749 4.672
angles: 90.00 103.70 90.00
Space group Cm (No. 8)
Inequivalent atoms, fractional coordinates:
Cd  0.000  0.000  0.000
Fe  0.263  0.500  0.292
Cu  0.007  0.500  0.501
Cu  0.242  0.000  0.754

4.
The following is a DFT calculation (PBE-GGA) of an optimized crystal structure of Ca4ZnH.

Calculated values
Excess energy over the best structure of this formula in the dataset: 0.30 kcal/mol of atoms
M_tot: 0.000 μB/atom
Crystal system: monoclinic
Energy: -27.3 eV/cell

abc: 6.118 9.698 6.136
angles: 90.00 96.68 90.00
Space group P2_1/m (No. 11)
Inequivalent atoms, fractional coordinates:
Ca  0.156  0.250  0.267
Ca  0.235  0.750  0.346
Ca  0.278  0.045  0.780
Zn  0.386  0.750  0.888
H  0.135  0.250  0.634

5.
The following is a DFT calculation (PBE-GGA) of an optimized crystal structure of Pr2DyMg.

Calculated values
Calculated formation energy: 181 meV per atom
Excess energy over the best structure of this formula in the dataset: 4.93 kcal/mol of atoms
M_tot: 0.000 μB/atom
Crystal system: trigonal
Energy: -45.1 eV/cell

abc: 3.5270 3.5270 37.7304
angles: 90.00 90.00 120.00
Space group R-3m (No. 166, hexagonal axes)
Inequivalent atoms, fractional coordinates:
Pr  0.0000  0.0000  0.0893
Dy  0.0000  0.0000  0.5000
Mg  0.0000  0.0000  0.0000

6.
The following is a DFT calculation (PBE-GGA) of an optimized crystal structure of Y6TmSe8.

Calculated values
Energy relative to the elements, uncorrected: -1.839 eV/atom
Excess energy over the best structure of this formula in the dataset: 0.00 kcal/mol of atoms
M_tot: 0.000 μB/atom
Crystal system: cubic
Energy: -394.9 eV/cell

abc: 11.507 11.507 11.507
angles: 90.00 90.00 90.00
Space group Fm-3m (No. 225)
Inequivalent atoms, fractional coordinates:
Y  0.000  0.250  0.250
Tm  0.000  0.000  0.000
Se  0.000  0.000  0.250
Se  0.250  0.250  0.250

7.
The following is a DFT calculation (PBE-GGA) of an optimized crystal structure of BiI3.

Calculated values
Energy relative to the elements, uncorrected: -0.440 eV/atom
M_tot: 0.000 μB/atom
Crystal system: orthorhombic
Energy: -41.2 eV/cell

abc: 7.814 14.141 7.884
angles: 90.00 90.00 90.00
Space group Pnma (No. 62)
Inequivalent atoms, fractional coordinates:
Bi  0.045  0.250  0.250
I  0.205  0.601  0.596
I  0.205  0.750  0.059

8.
The following is a DFT calculation (PBE-GGA) of an optimized crystal structure of PmPrSmAg.

Calculated values
Calculated formation energy: -115 meV per atom
Excess energy over the best structure of this formula in the dataset: 0.00 kcal/mol of atoms
M_tot: 0.000 μB/atom
Crystal system: tetragonal
Energy: -17.6 eV/cell

abc: 3.720 3.720 8.830
angles: 90.00 90.00 90.00
Space group P4mm (No. 99)
Inequivalent atoms, fractional coordinates:
Pm  0.000  0.000  0.000
Pr  0.500  0.500  0.709
Sm  0.000  0.000  0.420
Ag  0.500  0.500  0.213